Entry 1:
First-principles (PBE-GGA) data for a geometry-optimized NaIrPb2 structure, as listed in Alexandria via LeMat-Bulk.

Symmetry: Fm-3m, No. 225
Formation enthalpy at 0 K: 150 meV per atom
DOS(E_F): 2.65 states/eV/cell
M_tot: 0.0 μB per cell
Mass density: 12.2 Mg/m³

Structure (POSCAR):
```
NaIrPb2
1.0
0.0000 3.5017 3.5017
3.5017 0.0000 3.5017
3.5017 3.5017 0.0000
Pb Na Ir
2 1 1
direct
0.2500 0.2500 0.2500
0.7500 0.7500 0.7500
0.0000 0.0000 0.0000
0.5000 0.5000 0.5000
```


Entry 2:
First-principles (PBE-GGA) data for a geometry-optimized NaIr3Pb structure, as listed in Alexandria via LeMat-Bulk.

Symmetry: Pm-3m, No. 221
Formation enthalpy at 0 K: 1867 meV per atom
DOS(E_F): 9.58 states/eV/cell
M_tot: 1.8 μB per cell
Mass density: 10.3 Mg/m³

Structure (POSCAR):
```
NaIr3Pb
1.0
-3.1206 1.8296 3.5545
0.9186 -4.0604 2.8965
3.8908 2.4261 2.1670
Pb Na Ir
1 1 3
direct
0.0000 0.0000 0.0000
0.5000 0.5000 0.5000
0.0000 0.5000 0.0000
0.0000 0.0000 0.5000
0.5000 0.0000 0.0000
```


Entry 3:
First-principles (PBE-GGA) data for a geometry-optimized NaIrPb3 structure, as listed in Alexandria via LeMat-Bulk.

Symmetry: Pm-3m, No. 221
Formation enthalpy at 0 K: 262 meV per atom
DOS(E_F): 10.96 states/eV/cell
M_tot: 0.0 μB per cell
Mass density: 8.8 Mg/m³

Structure (POSCAR):
```
NaIrPb3
1.0
5.4105 0.0000 0.0000
0.0000 5.4105 0.0000
0.0000 0.0000 5.4105
Pb Na Ir
3 1 1
direct
0.0000 0.5000 0.0000
0.0000 0.0000 0.5000
0.5000 0.0000 0.0000
0.5000 0.5000 0.5000
0.0000 0.0000 0.0000
```


Entry 4:
First-principles (PBE-GGA) data for a geometry-optimized NaIrPb3 structure, as listed in Alexandria via LeMat-Bulk.

Symmetry: Pm-3m, No. 221
Formation enthalpy at 0 K: 1295 meV per atom
DOS(E_F): 7.85 states/eV/cell
M_tot: 0.0 μB per cell
Mass density: 9.5 Mg/m³

Structure (POSCAR):
```
NaIrPb3
1.0
5.2670 0.0000 0.0000
0.0000 5.2670 0.0000
0.0000 0.0000 5.2670
Pb Na Ir
3 1 1
direct
0.0000 0.5000 0.0000
0.0000 0.0000 0.5000
0.5000 0.0000 0.0000
0.0000 0.0000 0.0000
0.5000 0.5000 0.5000
```


Entry 5:
First-principles (PBE-GGA) data for a geometry-optimized RbNa2IrPb structure, as listed in Alexandria via LeMat-Bulk.

Symmetry: P4/mmm, No. 123
Formation enthalpy at 0 K: 412 meV per atom
DOS(E_F): 4.83 states/eV/cell
M_tot: 0.0 μB per cell
Mass density: 4.9 Mg/m³

Structure (POSCAR):
```
RbNa2IrPb
1.0
5.9173 0.0000 0.0000
0.0000 5.1542 0.0000
0.0000 0.0000 5.9173
Pb Na Ir Rb
1 2 1 1
direct
0.0000 0.0000 0.0000
0.0000 0.0000 0.5000
0.5000 0.0000 0.0000
0.0000 0.5000 0.0000
0.5000 0.5000 0.5000
```


Entry 6:
First-principles (PBE-GGA) data for a geometry-optimized Na2IrRhPb structure, as listed in Alexandria via LeMat-Bulk.

Symmetry: P4/mmm, No. 123
Formation enthalpy at 0 K: 703 meV per atom
DOS(E_F): 3.53 states/eV/cell
M_tot: 0.0 μB per cell
Mass density: 6.9 Mg/m³

Structure (POSCAR):
```
Na2IrRhPb
1.0
5.2907 0.0000 0.0000
0.0000 4.6879 0.0000
0.0000 0.0000 5.2907
Pb Na Ir Rh
1 2 1 1
direct
0.5000 0.5000 0.5000
0.0000 0.0000 0.5000
0.5000 0.0000 0.0000
0.0000 0.0000 0.0000
0.0000 0.5000 0.0000
```


Entry 7:
First-principles (PBE-GGA) data for a geometry-optimized NaTcIr2Pb structure, as listed in Alexandria via LeMat-Bulk.

Symmetry: P4/mmm, No. 123
Formation enthalpy at 0 K: 2145 meV per atom
DOS(E_F): 4.08 states/eV/cell
M_tot: 2.9 μB per cell
Mass density: 11.7 Mg/m³

Structure (POSCAR):
```
NaTcIr2Pb
1.0
-3.4068 -2.5097 1.8535
-1.0563 -1.7392 -4.2966
2.9463 -3.4907 0.6887
Pb Na Ir Tc
1 1 2 1
direct
0.0000 0.5000 0.0000
0.0000 0.0000 0.0000
0.0000 0.0000 0.5000
0.5000 0.0000 0.0000
0.5000 0.5000 0.5000
```


Entry 8:
First-principles (PBE-GGA) data for a geometry-optimized Na2TiIrPb structure, as listed in Alexandria via LeMat-Bulk.

Symmetry: P4/mmm, No. 123
Formation enthalpy at 0 K: 477 meV per atom
DOS(E_F): 3.99 states/eV/cell
M_tot: 0.0 μB per cell
Mass density: 6.1 Mg/m³

Structure (POSCAR):
```
Na2TiIrPb
1.0
5.4092 0.0000 0.0000
0.0000 4.6049 0.0000
0.0000 0.0000 5.4092
Pb Na Ir Ti
1 2 1 1
direct
0.5000 0.5000 0.5000
0.0000 0.0000 0.5000
0.5000 0.0000 0.0000
0.0000 0.0000 0.0000
0.0000 0.5000 0.0000
```


Entry 9:
First-principles (PBE-GGA) data for a geometry-optimized NaZn2IrPb structure, as listed in Alexandria via LeMat-Bulk.

Symmetry: P4/mmm, No. 123
Formation enthalpy at 0 K: 1094 meV per atom
DOS(E_F): 4.02 states/eV/cell
M_tot: 0.0 μB per cell
Mass density: 8.0 Mg/m³

Structure (POSCAR):
```
NaZn2IrPb
1.0
-3.4884 2.3209 -2.3226
-3.2418 -1.3018 3.5681
1.0529 4.0005 2.4162
Pb Na Zn Ir
1 1 2 1
direct
0.5000 0.5000 0.5000
0.0000 0.0000 0.0000
0.0000 0.0000 0.5000
0.5000 0.0000 0.0000
0.0000 0.5000 0.0000
```


Entry 10:
First-principles (PBE-GGA) data for a geometry-optimized Na2ZrIrPb structure, as listed in Alexandria via LeMat-Bulk.

Symmetry: P4/mmm, No. 123
Formation enthalpy at 0 K: 920 meV per atom
DOS(E_F): 4.80 states/eV/cell
M_tot: 1.8 μB per cell
Mass density: 6.4 Mg/m³

Structure (POSCAR):
```
Na2ZrIrPb
1.0
-1.6311 -4.6097 1.6379
0.5974 -1.9164 -4.7984
4.8561 -1.3166 1.1304
Pb Na Ir Zr
1 2 1 1
direct
0.0000 0.5000 0.0000
0.0000 0.0000 0.5000
0.5000 0.0000 0.0000
0.0000 0.0000 0.0000
0.5000 0.5000 0.5000
```


Entry 11:
First-principles (PBE-GGA) data for a geometry-optimized NaIr2Pd structure, as listed in Alexandria via LeMat-Bulk.

Symmetry: Fm-3m, No. 225
Formation enthalpy at 0 K: 724 meV per atom
DOS(E_F): 7.09 states/eV/cell
M_tot: 0.0 μB per cell
Mass density: 13.8 Mg/m³

Structure (POSCAR):
```
NaIr2Pd
1.0
3.4772 -2.1676 -1.7019
-0.2009 -4.3914 -0.6008
-0.2193 -1.6698 -4.1048
Na Ir Pd
1 2 1
direct
0.0000 0.0000 0.0000
0.2500 0.2500 0.2500
0.7500 0.7500 0.7500
0.5000 0.5000 0.5000
```


Entry 12:
First-principles (PBE-GGA) data for a geometry-optimized Na2IrPd2 structure, as listed in Alexandria via LeMat-Bulk.

Symmetry: P4/mbm, No. 127
Formation enthalpy at 0 K: 458 meV per atom
DOS(E_F): 8.26 states/eV/cell
M_tot: 0.0 μB per cell
Mass density: 8.7 Mg/m³

Structure (POSCAR):
```
Na2IrPd2
1.0
-0.5541 -3.6109 -7.0692
-1.5199 -6.9071 3.6472
-2.6617 0.5480 -0.0713
Na Ir Pd
4 2 4
direct
0.1231 0.6231 0.5000
0.6231 0.8769 0.5000
0.8769 0.3769 0.5000
0.3769 0.1231 0.5000
0.0000 0.0000 0.0000
0.5000 0.5000 0.0000
0.3203 0.8203 0.0000
0.8203 0.6797 0.0000
0.6797 0.1797 0.0000
0.1797 0.3203 0.0000
```